Entry 1:
Computed, not measured: crystalline MgZnRu3 at its relaxed geometry at the PBE-GGA level of DFT.

## Properties
Uncorrected energy = -24.19 eV per cell
Polymorph energy (0 for the lowest one) = 0 meV/atom
Theoretical density = 6.875 g/cm3
N(E_F) = 7.3 states/eV/f.u.
Energy of formation from the pure elements = 1.301 eV/atom

Cell lengths 4.5614, 4.5614, 4.5614 Å; angles 90.00, 90.00, 90.00 degrees
Site moments in Bohr magnetons follow the coordinates.
Sites, in units of the cell vectors:
Ru 0.0000 0.0000 0.5000  1.31
Ru 0.0000 0.5000 0.0000  1.24
Zn 0.0000 0.0000 0.0000  0.03
Mg 0.5000 0.5000 0.5000  -0.02
Ru 0.5000 0.0000 0.0000  0.83

---

Entry 2:
Computed, not measured: crystalline Mg2ZnRu at its relaxed geometry at the PBE-GGA level of DFT.

## Properties
Uncorrected energy = -13.38 eV per cell
Theoretical density = 5.300 g/cm3
N(E_F) = 3.2 states/eV/f.u.
Energy of formation from the pure elements = 0.089 eV/atom

Cell lengths 2.8308, 2.8308, 8.8578 Å; angles 90.00, 90.00, 108.30 degrees
Site moments in Bohr magnetons follow the coordinates.
Sites, in units of the cell vectors:
Mg 0.0000 0.0000 0.0166  0.00
Ru 0.5000 0.5000 0.2500  0.57
Zn 0.5000 0.5000 0.7500  0.00
Mg 0.0000 0.0000 0.4834  0.00

---

Entry 3:
Computed, not measured: crystalline Mg2Zn6Ru at its relaxed geometry at the PBE-GGA level of DFT.

## Properties
Uncorrected energy = -20.75 eV per cell
Polymorph energy (0 for the lowest one) = 25 meV/atom
Theoretical density = 5.977 g/cm3
N(E_F) = 3.1 states/eV/f.u.
Energy of formation from the pure elements = -0.071 eV/atom

Cell lengths 6.4872, 5.1777, 5.1777 Å; angles 60.01, 90.12, 90.12 degrees
Sites, in units of the cell vectors:
Ru 0.0000 0.0000 0.0000
Zn 0.6773 0.1686 0.6621
Mg 0.9257 0.6666 0.6666
Zn 0.3227 0.8314 0.3379
Zn 0.6779 0.1685 0.1685
Zn 0.6773 0.6621 0.1686
Mg 0.0743 0.3334 0.3334
Zn 0.3221 0.8315 0.8315
Zn 0.3227 0.3379 0.8314

---

Entry 4:
Computed, not measured: crystalline MgZn2Ru at its relaxed geometry at the PBE-GGA level of DFT.

## Properties
Uncorrected energy = -24.87 eV per cell
Theoretical density = 6.364 g/cm3
N(E_F) = 2.5 states/eV/f.u.
Energy of formation from the pure elements = 0.245 eV/atom

Cell lengths 3.7972, 3.7972, 9.6532 Å; angles 78.66, 78.66, 90.00 degrees
Site moments in Bohr magnetons follow the coordinates.
Sites, in units of the cell vectors:
Ru 0.0000 0.0000 0.0000  0.53
Ru 0.7500 0.2500 0.5000  0.53
Mg 0.5000 0.5000 0.0000  -0.01
Zn 0.8750 0.9077 0.7500  0.00
Zn 0.0923 0.6250 0.2500  0.00
Zn 0.6577 0.1250 0.2500  0.01
Mg 0.2500 0.7500 0.5000  -0.01
Zn 0.3750 0.3423 0.7500  0.00

---

Entry 5:
Computed, not measured: crystalline MgZrZnRu at its relaxed geometry at the PBE-GGA level of DFT.

## Properties
Uncorrected energy = -21.63 eV per cell
Theoretical density = 6.838 g/cm3
N(E_F) = 2.6 states/eV/f.u.
Energy of formation from the pure elements = -0.235 eV/atom

Cell lengths 4.5923, 4.5923, 4.5923 Å; angles 60.00, 60.00, 60.00 degrees
Sites, in units of the cell vectors:
Mg 0.0000 0.0000 0.0000
Zr 0.5000 0.5000 0.5000
Ru 0.7500 0.7500 0.7500
Zn 0.2500 0.2500 0.2500

---

Entry 6:
Computed, not measured: crystalline MgZr2Ru at its relaxed geometry at the PBE-GGA level of DFT.

## Properties
Uncorrected energy = -28.26 eV per cell
Theoretical density = 6.057 g/cm3
N(E_F) = 3.6 states/eV/f.u.
Energy of formation from the pure elements = -0.073 eV/atom

Cell lengths 9.2816, 9.2816, 9.2816 Å; angles 20.32, 20.32, 20.32 degrees
Sites, in units of the cell vectors:
Zr 0.0125 0.0125 0.0125
Ru 0.7500 0.7500 0.7500
Mg 0.2500 0.2500 0.2500
Zr 0.4875 0.4875 0.4875

---

Entry 7:
Computed, not measured: crystalline MgZrRu at its relaxed geometry at the PBE-GGA level of DFT.

## Properties
Uncorrected energy = -19.39 eV per cell
Polymorph energy (0 for the lowest one) = 271 meV/atom
Theoretical density = 6.057 g/cm3
N(E_F) = 2.8 states/eV/f.u.
Energy of formation from the pure elements = 0.008 eV/atom

Cell lengths 3.2110, 3.2110, 6.6504 Å; angles 90.00, 90.00, 120.00 degrees
Sites, in units of the cell vectors:
Ru 0.3333 0.6667 0.3455
Mg 0.0000 0.0000 0.0298
Zr 0.6667 0.3333 0.6246

---

Entry 8:
Computed, not measured: crystalline MgZrRu2 at its relaxed geometry at the PBE-GGA level of DFT.

## Properties
Uncorrected energy = -28.74 eV per cell
Theoretical density = 7.567 g/cm3
N(E_F) = 3.3 states/eV/f.u.
Energy of formation from the pure elements = -0.012 eV/atom

Cell lengths 2.8820, 2.8820, 8.3934 Å; angles 90.00, 90.00, 90.00 degrees
Sites, in units of the cell vectors:
Ru 0.0000 0.0000 0.0242
Zr 0.0000 0.0000 0.4717
Ru 0.5000 0.5000 0.2149
Mg 0.5000 0.5000 0.7892